(1)
A plane-wave DFT calculation with SCAN was carried out for a crystal of CdAgSb relaxed with PBEsol.

- D(E_F) (states/eV/cell) = 0.335
- magnetization (μB/f.u.) = 0.0
- electronic total energy (eV/cell) = -98.99
- formation energy without anion corrections (meV/atom) = 19

a b c (Å): 4.7054 4.7054 4.7054
angles (deg): 60.00 60.00 60.00
With the nearest neighbours (Å) after each atom.
Fractional positions:
1 Cd 0.0000 0.0000 0.0000  4 Sb 2.88
2 Ag 0.5000 0.5000 0.5000  4 Sb 2.88
3 Sb 0.7500 0.7500 0.7500  4 Cd 2.88, 4 Ag 2.88

(2)
A plane-wave DFT calculation with SCAN was carried out for a crystal of DyBiRu2O7 relaxed with PBEsol.

- D(E_F) (states/eV/cell) = 5.965
- magnetization (μB/f.u.) = 0.1
- electronic total energy (eV/cell) = -519.54
- formation energy without anion corrections (meV/atom) = -1829

a b c (Å): 7.1874 7.1874 7.1874
angles (deg): 120.39 119.78 89.86
With the nearest neighbours (Å) after each atom.
Fractional positions:
1 Dy 0.0000 0.0000 0.0000  2 O 2.16
2 Dy 0.5000 0.0000 0.5000  2 O 2.16
3 Bi 0.5000 0.0000 0.0000  8 O 2.25-2.50
4 Bi 0.5000 0.5000 0.5000  8 O 2.25-2.50
5 Ru 0.0000 0.0000 0.5000  6 O 1.98
6 Ru 0.0000 0.5000 0.0000  6 O 1.98
7 Ru 0.0000 0.5000 0.5000  6 O 1.97
8 Ru 0.5000 0.5000 0.0000  6 O 1.97
9 O 0.0818 0.4196 0.2509  2 Ru 1.97-1.98
10 O 0.0818 0.8310 0.6622  2 Ru 1.97-1.98
11 O 0.0844 0.8344 0.2500  2 Ru 1.98
12 O 0.3287 0.5787 0.7500  2 Ru 1.97
13 O 0.3312 0.1690 0.7509  2 Ru 1.97-1.98
14 O 0.3312 0.5804 0.1622  2 Ru 1.97-1.98
15 O 0.3664 0.1164 0.2500  2 Dy 2.16, 2 Bi 2.25
16 O 0.6336 0.8836 0.7500  2 Dy 2.16, 2 Bi 2.25
17 O 0.6688 0.4196 0.8378  2 Ru 1.97-1.98
18 O 0.6688 0.8310 0.2491  2 Ru 1.97-1.98
19 O 0.6713 0.4213 0.2500  2 Ru 1.97
20 O 0.9156 0.1656 0.7500  2 Ru 1.98
21 O 0.9182 0.1690 0.3378  2 Ru 1.97-1.98
22 O 0.9182 0.5804 0.7491  2 Ru 1.97-1.98

(3)
A plane-wave DFT calculation with SCAN was carried out for a crystal of KInRu relaxed with PBEsol.

- D(E_F) (states/eV/cell) = 1.544
- magnetization (μB/f.u.) = 1.1
- energy relative to the lowest polymorph listed for this composition (eV per atom) = 0.000
- ΔH_f (0 K) (eV per atom) = 0.577
- electronic total energy (eV/cell) = -74.81

a b c (Å): 7.6945 7.6945 7.6945
angles (deg): 157.64 157.64 31.83
With the nearest neighbours (Å) after each atom.
Fractional positions:
1 K 0.0000 0.0000 0.0000  4 K 2.98, 4 Ru 3.34
2 In 0.2979 0.2979 0.0000  4 Ru 2.79, 4 In 2.98
3 Ru 0.6749 0.6749 0.0000  4 In 2.79, 4 Ru 2.98

(4)
A plane-wave DFT calculation with SCAN was carried out for a crystal of NaH3Se2O6 relaxed with PBEsol.

- D(E_F) (states/eV/cell) = 0.000
- magnetization (μB/f.u.) = 0.0
- energy relative to the lowest polymorph listed for this composition (eV per atom) = 0.000
- electronic total energy (eV/cell) = -211.07

a b c (Å): 5.7227 4.7340 11.5774
angles (deg): 90.00 118.05 90.00
With the nearest neighbours (Å) after each atom.
Fractional positions:
1 Na 0.0000 0.2489 0.0000  6 O 2.38-2.45
2 Na 0.0000 0.7511 0.5000  6 O 2.38-2.45
3 H 0.2564 0.2689 0.6710  1 O 1.10
4 H 0.2564 0.7311 0.1710  1 O 1.10
5 H 0.5137 0.2804 0.0061  1 O 1.09
6 H 0.5137 0.7196 0.5061  1 O 1.09
7 H 0.7247 0.2194 0.3265  1 O 1.06
8 H 0.7247 0.7806 0.8265  1 O 1.06
9 Se 0.3243 0.1406 0.3320  3 O 1.71-1.80
10 Se 0.3243 0.8594 0.8320  3 O 1.71-1.80
11 Se 0.6629 0.3456 0.6704  3 O 1.69-1.77
12 Se 0.6629 0.6544 0.1704  3 O 1.69-1.77
13 O 0.1292 0.0488 0.6937  1 H 1.37
14 O 0.1292 0.9512 0.1937  1 H 1.37
15 O 0.3359 0.0596 0.9571  1 H 1.38
16 O 0.3359 0.9404 0.4571  1 H 1.38
17 O 0.3456 0.4502 0.6468  1 H 1.10
18 O 0.3456 0.5498 0.1468  1 H 1.10
19 O 0.6428 0.0388 0.3488  1 H 1.06
20 O 0.6428 0.9612 0.8488  1 H 1.06
21 O 0.6577 0.4530 0.0411  1 H 1.09
22 O 0.6577 0.5470 0.5411  1 H 1.09
23 O 0.8555 0.4582 0.3040  1 H 1.45
24 O 0.8555 0.5418 0.8040  1 H 1.45

(5)
A plane-wave DFT calculation with SCAN was carried out for a crystal of Be17Ru3 relaxed with PBEsol.

- D(E_F) (states/eV/cell) = 11.242
- magnetization (μB/f.u.) = 0.0
- ΔH_f (0 K) (eV per atom) = -0.308
- electronic total energy (eV/cell) = -738.58

a b c (Å): 9.7409 9.7409 9.7409
angles (deg): 109.47 109.47 109.47
With the nearest neighbours (Å) after each atom.
Fractional positions:
1 Be 0.0000 0.0000 0.3315  6 Be 2.10-2.16
2 Be 0.0000 0.0000 0.6685  6 Be 2.10-2.16
3 Be 0.0000 0.3315 0.0000  6 Be 2.10-2.16
4 Be 0.0000 0.4022 0.4022  9 Be 2.20-2.46, 2 Ru 2.40
5 Be 0.0000 0.5978 0.5978  9 Be 2.20-2.46, 2 Ru 2.40
6 Be 0.0000 0.6685 0.0000  6 Be 2.10-2.16
7 Be 0.0554 0.6507 0.4047  7 Be 2.03-2.22
8 Be 0.0875 0.2281 0.5428  7 Be 2.10-2.22
9 Be 0.0875 0.5447 0.8594  7 Be 2.10-2.22
10 Be 0.0936 0.2297 0.3233  6 Be 2.11-2.21
11 Be 0.0936 0.7703 0.8639  6 Be 2.11-2.21
12 Be 0.1361 0.9064 0.2297  6 Be 2.11-2.21
13 Be 0.1406 0.6853 0.2281  7 Be 2.10-2.22
14 Be 0.1406 0.9125 0.4553  7 Be 2.10-2.22
15 Be 0.1953 0.5000 0.6953  8 Be 2.03-2.19
16 Be 0.2281 0.1406 0.6853  7 Be 2.10-2.22
17 Be 0.2281 0.5428 0.0875  7 Be 2.10-2.22
18 Be 0.2297 0.1361 0.9064  6 Be 2.11-2.21
19 Be 0.2297 0.3233 0.0936  6 Be 2.11-2.21
20 Be 0.2459 0.6507 0.5953  7 Be 2.03-2.22
21 Be 0.3047 0.8047 0.5000  8 Be 2.03-2.19
22 Be 0.3147 0.4553 0.5428  7 Be 2.10-2.22
23 Be 0.3147 0.7719 0.8594  7 Be 2.10-2.22
24 Be 0.3233 0.0936 0.2297  6 Be 2.11-2.21
25 Be 0.3315 0.0000 0.0000  6 Be 2.10-2.16
26 Be 0.3315 0.3315 0.3315  6 Be 2.10-2.16
27 Be 0.3493 0.4047 0.7541  7 Be 2.03-2.22
28 Be 0.3493 0.5953 0.9446  7 Be 2.03-2.22
29 Be 0.4022 0.0000 0.4022  9 Be 2.20-2.46, 2 Ru 2.40
30 Be 0.4022 0.4022 0.0000  9 Be 2.20-2.46, 2 Ru 2.40
31 Be 0.4047 0.0554 0.6507  7 Be 2.03-2.22
32 Be 0.4047 0.7541 0.3493  7 Be 2.03-2.22
33 Be 0.4553 0.1406 0.9125  7 Be 2.10-2.22
34 Be 0.4553 0.5428 0.3147  7 Be 2.10-2.22
35 Be 0.4572 0.6853 0.5447  7 Be 2.10-2.22
36 Be 0.4572 0.9125 0.7719  7 Be 2.10-2.22
37 Be 0.5000 0.3047 0.8047  8 Be 2.03-2.19
38 Be 0.5000 0.6953 0.1953  8 Be 2.03-2.19
39 Be 0.5428 0.0875 0.2281  7 Be 2.10-2.22
40 Be 0.5428 0.3147 0.4553  7 Be 2.10-2.22
41 Be 0.5447 0.4572 0.6853  7 Be 2.10-2.22
42 Be 0.5447 0.8594 0.0875  7 Be 2.10-2.22
43 Be 0.5953 0.2459 0.6507  7 Be 2.03-2.22
44 Be 0.5953 0.9446 0.3493  7 Be 2.03-2.22
45 Be 0.5978 0.0000 0.5978  9 Be 2.20-2.46, 2 Ru 2.40
46 Be 0.5978 0.5978 0.0000  9 Be 2.20-2.46, 2 Ru 2.40
47 Be 0.6507 0.4047 0.0554  7 Be 2.03-2.22
48 Be 0.6507 0.5953 0.2459  7 Be 2.03-2.22
49 Be 0.6685 0.0000 0.0000  6 Be 2.10-2.16
50 Be 0.6685 0.6685 0.6685  6 Be 2.10-2.16
51 Be 0.6767 0.9064 0.7703  6 Be 2.11-2.21
52 Be 0.6853 0.2281 0.1406  7 Be 2.10-2.22
53 Be 0.6853 0.5447 0.4572  7 Be 2.10-2.22
54 Be 0.6953 0.1953 0.5000  8 Be 2.03-2.19
55 Be 0.7541 0.3493 0.4047  7 Be 2.03-2.22
56 Be 0.7703 0.6767 0.9064  6 Be 2.11-2.21
57 Be 0.7703 0.8639 0.0936  6 Be 2.11-2.21
58 Be 0.7719 0.4572 0.9125  7 Be 2.10-2.22
59 Be 0.7719 0.8594 0.3147  7 Be 2.10-2.22
60 Be 0.8047 0.5000 0.3047  8 Be 2.03-2.19
61 Be 0.8594 0.0875 0.5447  7 Be 2.10-2.22
62 Be 0.8594 0.3147 0.7719  7 Be 2.10-2.22
63 Be 0.8639 0.0936 0.7703  6 Be 2.11-2.21
64 Be 0.9064 0.2297 0.1361  6 Be 2.11-2.21
65 Be 0.9064 0.7703 0.6767  6 Be 2.11-2.21
66 Be 0.9125 0.4553 0.1406  7 Be 2.10-2.22
67 Be 0.9125 0.7719 0.4572  7 Be 2.10-2.22
68 Be 0.9446 0.3493 0.5953  7 Be 2.03-2.22
69 Ru 0.1134 0.3015 0.8120  16 Be 2.37-2.59
70 Ru 0.1880 0.4895 0.3015  16 Be 2.37-2.59
71 Ru 0.1880 0.8866 0.6985  16 Be 2.37-2.59
72 Ru 0.3015 0.1880 0.4895  16 Be 2.37-2.59
73 Ru 0.3015 0.8120 0.1134  16 Be 2.37-2.59
74 Ru 0.4895 0.3015 0.1880  16 Be 2.37-2.59
75 Ru 0.5105 0.6985 0.8120  16 Be 2.37-2.59
76 Ru 0.6985 0.1880 0.8866  16 Be 2.37-2.59
77 Ru 0.6985 0.8120 0.5105  16 Be 2.37-2.59
78 Ru 0.8120 0.1134 0.3015  16 Be 2.37-2.59
79 Ru 0.8120 0.5105 0.6985  16 Be 2.37-2.59
80 Ru 0.8866 0.6985 0.1880  16 Be 2.37-2.59

(6)
A plane-wave DFT calculation with SCAN was carried out for a crystal of Ta2CrRh relaxed with PBEsol.

- D(E_F) (states/eV/cell) = 2.869
- magnetization (μB/f.u.) = 0.0
- ΔH_f (0 K) (eV per atom) = -0.331
- electronic total energy (eV/cell) = -186.65

a b c (Å): 3.0906 3.0906 6.2470
angles (deg): 90.00 90.00 90.00
With the nearest neighbours (Å) after each atom.
Fractional positions:
1 Ta 0.0000 0.0000 0.2348  4 Cr 2.63, 4 Rh 2.74, 1 Ta 2.93
2 Ta 0.0000 0.0000 0.7652  4 Cr 2.63, 4 Rh 2.74, 1 Ta 2.93
3 Cr 0.5000 0.5000 0.0000  8 Ta 2.63
4 Rh 0.5000 0.5000 0.5000  8 Ta 2.74

(7)
A plane-wave DFT calculation with SCAN was carried out for a crystal of La2Ga10Ni relaxed with PBEsol.

- D(E_F) (states/eV/cell) = 3.138
- magnetization (μB/f.u.) = 0.0
- ΔH_f (0 K) (eV per atom) = -0.582
- electronic total energy (eV/cell) = -273.42

a b c (Å): 13.3045 13.3045 13.3045
angles (deg): 161.36 161.36 26.48
With the nearest neighbours (Å) after each atom.
Fractional positions:
1 La 0.1438 0.1438 0.0000  16 Ga 3.22-3.49
2 La 0.8562 0.8562 0.0000  16 Ga 3.22-3.49
3 Ga 0.0486 0.5486 0.5000  2 Ni 2.49, 3 Ga 2.52-2.58
4 Ga 0.2500 0.7500 0.5000  4 Ga 2.56
5 Ga 0.3036 0.3036 0.0000  5 Ga 2.42-2.56
6 Ga 0.3969 0.3969 0.0000  5 Ga 2.42-2.58
7 Ga 0.4514 0.9514 0.5000  2 Ni 2.49, 3 Ga 2.52-2.58
8 Ga 0.5486 0.0486 0.5000  2 Ni 2.49, 3 Ga 2.52-2.58
9 Ga 0.6031 0.6031 0.0000  5 Ga 2.42-2.58
10 Ga 0.6964 0.6964 0.0000  5 Ga 2.42-2.56
11 Ga 0.7500 0.2500 0.5000  4 Ga 2.56
12 Ga 0.9514 0.4514 0.5000  2 Ni 2.49, 3 Ga 2.52-2.58
13 Ni 0.0000 0.0000 0.0000  8 Ga 2.49

(8)
A plane-wave DFT calculation with SCAN was carried out for a crystal of CsMnP6O18 relaxed with PBEsol.

- D(E_F) (states/eV/cell) = 6.185
- magnetization (μB/f.u.) = 4.0
- electronic total energy (eV/cell) = -287.94
- formation energy without anion corrections (meV/atom) = -2205

a b c (Å): 5.0447 8.1403 9.9239
angles (deg): 91.76 97.46 104.52
With the nearest neighbours (Å) after each atom.
Fractional positions:
1 Cs 0.0000 0.0000 0.0000  4 O 2.96-3.05
2 Mn 0.0000 0.0000 0.5000  6 O 1.87-1.89
3 P 0.3455 0.5762 0.7848  4 O 1.49-1.66
4 P 0.4145 0.7762 0.5486  4 O 1.52-1.57
5 P 0.4400 0.2284 0.7255  4 O 1.46-1.63
6 P 0.5600 0.7716 0.2745  4 O 1.46-1.63
7 P 0.5855 0.2238 0.4514  4 O 1.52-1.57
8 P 0.6545 0.4238 0.2152  4 O 1.49-1.66
9 O 0.0423 0.5475 0.7862  1 P 1.49
10 O 0.1431 0.1541 0.6506  1 P 1.55
11 O 0.1671 0.8368 0.5811  1 P 1.52
12 O 0.3129 0.0878 0.4159  1 P 1.53
13 O 0.3746 0.7080 0.3954  2 P 1.57-1.63
14 O 0.4168 0.6130 0.6278  2 P 1.57-1.66
15 O 0.4384 0.4027 0.7986  2 P 1.58-1.60
16 O 0.4387 0.8767 0.1802  1 P 1.46
17 O 0.4648 0.2897 0.1177  1 P 1.49
18 O 0.5352 0.7103 0.8823  1 P 1.49
19 O 0.5613 0.1233 0.8198  1 P 1.46
20 O 0.5616 0.5973 0.2014  2 P 1.58-1.60
21 O 0.5832 0.3870 0.3722  2 P 1.57-1.66
22 O 0.6254 0.2920 0.6046  2 P 1.57-1.63
23 O 0.6871 0.9122 0.5841  1 P 1.53
24 O 0.8329 0.1632 0.4189  1 P 1.52
25 O 0.8569 0.8459 0.3494  1 P 1.55
26 O 0.9577 0.4525 0.2138  1 P 1.49

(9)
A plane-wave DFT calculation with SCAN was carried out for a crystal of K2LiSb relaxed with PBEsol.

- magnetization (μB/f.u.) = 0.0
- energy relative to the lowest polymorph listed for this composition (eV per atom) = 0.008
- electronic total energy (eV/cell) = -58.35
- formation energy without anion corrections (meV/atom) = -511

a b c (Å): 6.0277 6.0277 6.0277
angles (deg): 132.01 120.93 79.45
With the nearest neighbours (Å) after each atom.
Fractional positions:
1 K 0.0000 0.0000 0.0000  4 K 3.47-3.75, 4 Li 3.51-3.70, 1 Sb 3.82
2 K 0.6938 0.1938 0.5000  4 K 3.47-3.75, 4 Sb 3.58-3.60, 1 Li 3.66
3 Li 0.2989 0.7989 0.5000  2 Sb 2.67
4 Sb 0.4125 0.4125 0.0000  2 Li 2.67

(10)
A plane-wave DFT calculation with SCAN was carried out for a crystal of Cu2SiAu relaxed with PBEsol.

- D(E_F) (states/eV/cell) = 1.138
- magnetization (μB/f.u.) = 0.0
- electronic total energy (eV/cell) = -109.63
- formation energy without anion corrections (meV/atom) = -14

a b c (Å): 2.8723 4.0896 4.5437
angles (deg): 90.00 90.00 90.00
With the nearest neighbours (Å) after each atom.
Fractional positions:
1 Cu 0.0000 0.0000 0.0000  2 Cu 2.47, 4 Si 2.58, 4 Au 2.65-2.73
2 Cu 0.0000 0.5000 0.3068  2 Cu 2.47, 2 Si 2.48, 4 Au 2.66
3 Si 0.5000 0.5000 0.8623  6 Cu 2.48-2.58, 2 Au 2.60
4 Au 0.5000 0.0000 0.5104  2 Si 2.60, 8 Cu 2.65-2.73, 2 Au 2.87

(11)
A plane-wave DFT calculation with SCAN was carried out for a crystal of KCaAu2 relaxed with PBEsol.

- D(E_F) (states/eV/cell) = 1.430
- magnetization (μB/f.u.) = 0.0
- ΔH_f (0 K) (eV per atom) = -0.621
- electronic total energy (eV/cell) = -158.79

a b c (Å): 4.6471 6.0871 6.0871
angles (deg): 38.70 90.00 90.00
With the nearest neighbours (Å) after each atom.
Fractional positions:
1 K 0.0000 0.0000 0.0000  7 Au 3.16-3.28
2 Ca 0.5000 0.2818 0.2818  6 Au 3.04-3.15
3 Au 0.0000 0.7248 0.7248  2 Au 2.83, 4 Ca 3.15, 1 K 3.16
4 Au 0.5000 0.5837 0.5837  2 Au 2.83, 2 Ca 3.04

(12)
A plane-wave DFT calculation with SCAN was carried out for a crystal of CuTcSbI2 relaxed with PBEsol.

- D(E_F) (states/eV/cell) = 3.394
- magnetization (μB/f.u.) = 4.4
- electronic total energy (eV/cell) = -155.65
- formation energy without anion corrections (meV/atom) = 1070

a b c (Å): 5.1486 5.1486 5.1599
angles (deg): 90.00 90.00 90.00
With the nearest neighbours (Å) after each atom.
Fractional positions:
1 Cu 0.0000 0.0000 0.0000  4 I 2.57, 2 Sb 2.58
2 Tc 0.5000 0.5000 0.5000  4 Sb 3.64, 8 I 3.64
3 Sb 0.0000 0.0000 0.5000  2 Cu 2.58
4 I 0.0000 0.5000 0.0000  2 Cu 2.57
5 I 0.5000 0.0000 0.0000  2 Cu 2.57